# Tc2NiAs2 (PBE, optimized geometry)
data_Tc2NiAs2
_chemical_formula_sum 'Tc4 Ni2 As4'
_space_group_name_H-M_alt 'P 4/m b m'
_space_group_IT_number 127
_space_group_name_Hall '-P 4 2ab'
_cell_length_a 6.9877
_cell_length_b 6.9877
_cell_length_c 3.0048
_cell_angle_alpha 90.00
_cell_angle_beta 90.00
_cell_angle_gamma 90.00
loop_
_atom_site_label
_atom_site_type_symbol
_atom_site_fract_x
_atom_site_fract_y
_atom_site_fract_z
_atom_site_occupancy
Tc1 Tc 0.1472 0.3528 0.0000 1
Ni1 Ni 0.0000 0.0000 0.5000 1
As1 As 0.1528 0.6528 0.5000 1
# energy above the most stable polymorph in this dataset = 7 meV per atom
# raw total energy = -7.052 eV per atom

=====

# TcNiAs2 (PBE, optimized geometry)
data_TcNiAs2
_chemical_formula_sum 'Tc2 Ni2 As4'
_space_group_name_H-M_alt 'I -4 m 2'
_space_group_IT_number 119
_space_group_name_Hall 'I -4 -2'
_cell_length_a 3.6328
_cell_length_b 3.6328
_cell_length_c 8.9396
_cell_angle_alpha 90.00
_cell_angle_beta 90.00
_cell_angle_gamma 90.00
loop_
_atom_site_label
_atom_site_type_symbol
_atom_site_fract_x
_atom_site_fract_y
_atom_site_fract_z
_atom_site_occupancy
Tc1 Tc 0.0000 0.0000 0.0000 1
Ni1 Ni 0.0000 0.5000 0.2500 1
As1 As 0.0000 0.0000 0.5000 1
As2 As 0.0000 0.5000 0.7500 1
# energy above the most stable polymorph in this dataset = 297 meV per atom
# raw total energy = -6.175 eV per atom

=====

# Tc2NiAs (PBE, optimized geometry)
data_Tc2NiAs
_chemical_formula_sum 'Tc4 Ni2 As2'
_space_group_name_H-M_alt 'I m m m'
_space_group_IT_number 71
_space_group_name_Hall '-I 2 2'
_cell_length_a 3.0152
_cell_length_b 4.2652
_cell_length_c 8.8159
_cell_angle_alpha 90.00
_cell_angle_beta 90.00
_cell_angle_gamma 90.00
loop_
_atom_site_label
_atom_site_type_symbol
_atom_site_fract_x
_atom_site_fract_y
_atom_site_fract_z
_atom_site_occupancy
Tc1 Tc 0.0000 0.0000 0.2185 1
Ni1 Ni 0.0000 0.5000 0.0000 1
As1 As 0.0000 0.5000 0.5000 1
# energy above the most stable polymorph in this dataset = 139 meV per atom
# raw total energy = -7.674 eV per atom

=====

# TcNiAs2 (PBE, optimized geometry)
data_TcNiAs2
_chemical_formula_sum 'Tc1 Ni1 As2'
_space_group_name_H-M_alt 'P 4 m m'
_space_group_IT_number 99
_cell_length_a 3.3289
_cell_length_b 3.3289
_cell_length_c 5.3385
_cell_angle_alpha 90.00
_cell_angle_beta 90.00
_cell_angle_gamma 90.00
loop_
_space_group_symop_operation_xyz
'x,y,z'
'-y,x,z'
'-x,-y,z'
'y,-x,z'
'-x,y,z'
'y,x,z'
'x,-y,z'
'-y,-x,z'
loop_
_atom_site_label
_atom_site_type_symbol
_atom_site_fract_x
_atom_site_fract_y
_atom_site_fract_z
_atom_site_occupancy
Tc1 Tc 0.0000 0.0000 0.0000 1
Ni1 Ni 0.5000 0.5000 0.6613 1
As1 As 0.0000 0.0000 0.5423 1
As2 As 0.5000 0.5000 0.1836 1
# energy above the most stable polymorph in this dataset = 13 meV per atom
# raw total energy = -6.459 eV per atom

=====

# TcNi2As (PBE, optimized geometry)
data_TcNi2As
_chemical_formula_sum 'Tc3 Ni6 As3'
_space_group_name_H-M_alt 'R -3 m'
_space_group_IT_number 166
_space_group_name_Hall '-R 3 2"'
_cell_length_a 2.7433
_cell_length_b 2.7433
_cell_length_c 24.1704
_cell_angle_alpha 90.00
_cell_angle_beta 90.00
_cell_angle_gamma 120.00
loop_
_atom_site_label
_atom_site_type_symbol
_atom_site_fract_x
_atom_site_fract_y
_atom_site_fract_z
_atom_site_occupancy
Tc1 Tc 0.0000 0.0000 0.0000 1
Ni1 Ni 0.0000 0.0000 0.2468 1
As1 As 0.0000 0.0000 0.5000 1
# energy above the most stable polymorph in this dataset = 139 meV per atom
# raw total energy = -6.517 eV per atom

=====

# Tc2NiAs (PBE, optimized geometry)
data_Tc2NiAs
_chemical_formula_sum 'Tc2 Ni1 As1'
_space_group_name_H-M_alt 'P m m m'
_space_group_IT_number 47
_cell_length_a 3.1310
_cell_length_b 4.1696
_cell_length_c 4.3176
_cell_angle_alpha 90.00
_cell_angle_beta 90.00
_cell_angle_gamma 90.00
loop_
_space_group_symop_operation_xyz
'x,y,z'
'-x,-y,-z'
'-x,-y,z'
'x,y,-z'
'x,-y,-z'
'-x,y,z'
'-x,y,-z'
'x,-y,z'
loop_
_atom_site_label
_atom_site_type_symbol
_atom_site_fract_x
_atom_site_fract_y
_atom_site_fract_z
_atom_site_occupancy
Tc1 Tc 0.0000 0.0000 0.0000 1
Tc2 Tc 0.5000 0.5000 0.0000 1
Ni1 Ni 0.0000 0.5000 0.5000 1
As1 As 0.5000 0.0000 0.5000 1
# energy above the most stable polymorph in this dataset = 263 meV per atom
# raw total energy = -7.550 eV per atom

=====

# Tc2NiAs (PBE, optimized geometry)
data_Tc2NiAs
_chemical_formula_sum 'Tc2 Ni1 As1'
_space_group_name_H-M_alt 'P 4/m m m'
_space_group_IT_number 123
_space_group_name_Hall '-P 4 2'
_cell_length_a 4.2692
_cell_length_b 4.2692
_cell_length_c 2.9604
_cell_angle_alpha 90.00
_cell_angle_beta 90.00
_cell_angle_gamma 90.00
loop_
_atom_site_label
_atom_site_type_symbol
_atom_site_fract_x
_atom_site_fract_y
_atom_site_fract_z
_atom_site_occupancy
Tc1 Tc 0.0000 0.5000 0.0000 1
Ni1 Ni 0.0000 0.0000 0.5000 1
As1 As 0.5000 0.5000 0.5000 1
# energy above the most stable polymorph in this dataset = 20 meV per atom
# raw total energy = -7.793 eV per atom

=====

# Tc2NiAs (PBE, optimized geometry)
data_Tc2NiAs
_chemical_formula_sum 'Tc2 Ni1 As1'
_space_group_name_H-M_alt 'P 1 2/m 1'
_space_group_IT_number 10
_cell_length_a 2.8285
_cell_length_b 3.8816
_cell_length_c 5.2734
_cell_angle_alpha 90.00
_cell_angle_beta 102.31
_cell_angle_gamma 90.00
loop_
_space_group_symop_operation_xyz
'x,y,z'
'-x,-y,-z'
'-x,y,-z'
'x,-y,z'
loop_
_atom_site_label
_atom_site_type_symbol
_atom_site_fract_x
_atom_site_fract_y
_atom_site_fract_z
_atom_site_occupancy
Tc1 Tc 0.1247 0.0000 0.2420 1
Ni1 Ni 0.5000 0.5000 0.0000 1
As1 As 0.5000 0.5000 0.5000 1
# energy above the most stable polymorph in this dataset = 146 meV per atom
# raw total energy = -7.667 eV per atom

=====

# TcNi2As (PBE, optimized geometry)
data_TcNi2As
_chemical_formula_sum 'Tc3 Ni6 As3'
_space_group_name_H-M_alt 'R 3 m'
_space_group_IT_number 160
_space_group_name_Hall 'R 3 -2"'
_cell_length_a 2.8008
_cell_length_b 2.8008
_cell_length_c 23.5434
_cell_angle_alpha 90.00
_cell_angle_beta 90.00
_cell_angle_gamma 120.00
loop_
_atom_site_label
_atom_site_type_symbol
_atom_site_fract_x
_atom_site_fract_y
_atom_site_fract_z
_atom_site_occupancy
Tc1 Tc 0.0000 0.0000 0.0000 1
Ni1 Ni 0.0000 0.0000 0.5018 1
Ni2 Ni 0.0000 0.0000 0.7518 1
As1 As 0.0000 0.0000 0.2460 1
# energy above the most stable polymorph in this dataset = 200 meV per atom
# raw total energy = -6.457 eV per atom

=====

# TcNi2As (PBE, optimized geometry)
data_TcNi2As
_chemical_formula_sum 'Tc2 Ni4 As2'
_space_group_name_H-M_alt 'C 1 m 1'
_space_group_IT_number 8
_cell_length_a 8.2289
_cell_length_b 2.7326
_cell_length_c 4.6598
_cell_angle_alpha 90.00
_cell_angle_beta 99.90
_cell_angle_gamma 90.00
loop_
_space_group_symop_operation_xyz
'x,y,z'
'x,-y,z'
'x+1/2,y+1/2,z'
'x+1/2,-y+1/2,z'
loop_
_atom_site_label
_atom_site_type_symbol
_atom_site_fract_x
_atom_site_fract_y
_atom_site_fract_z
_atom_site_occupancy
Tc1 Tc 0.0000 0.0000 0.0000 1
Ni1 Ni 0.2482 0.5000 0.2633 1
Ni2 Ni 0.4958 0.0000 0.4816 1
As1 As 0.2451 0.0000 0.7201 1
# energy above the most stable polymorph in this dataset = 54 meV per atom
# raw total energy = -6.602 eV per atom

=====

# TcNiAs (PBE, optimized geometry)
data_TcNiAs
_chemical_formula_sum 'Tc2 Ni2 As2'
_space_group_name_H-M_alt 'I 4 m m'
_space_group_IT_number 107
_space_group_name_Hall 'I 4 -2'
_cell_length_a 3.0542
_cell_length_b 3.0542
_cell_length_c 8.7177
_cell_angle_alpha 90.00
_cell_angle_beta 90.00
_cell_angle_gamma 90.00
loop_
_atom_site_label
_atom_site_type_symbol
_atom_site_fract_x
_atom_site_fract_y
_atom_site_fract_z
_atom_site_occupancy
Tc1 Tc 0.0000 0.0000 0.0000 1
Ni1 Ni 0.0000 0.0000 0.6817 1
As1 As 0.0000 0.0000 0.3344 1
# energy above the most stable polymorph in this dataset = 95 meV per atom
# raw total energy = -6.862 eV per atom

=====

# TcNiAs2 (PBE, optimized geometry)
data_TcNiAs2
_chemical_formula_sum 'Tc2 Ni2 As4'
_space_group_name_H-M_alt 'C 1 2/m 1'
_space_group_IT_number 12
_cell_length_a 7.9170
_cell_length_b 3.0830
_cell_length_c 4.9118
_cell_angle_alpha 90.00
_cell_angle_beta 98.41
_cell_angle_gamma 90.00
loop_
_space_group_symop_operation_xyz
'x,y,z'
'-x,-y,-z'
'-x,y,-z'
'x,-y,z'
'x+1/2,y+1/2,z'
'-x+1/2,-y+1/2,-z'
'-x+1/2,y+1/2,-z'
'x+1/2,-y+1/2,z'
loop_
_atom_site_label
_atom_site_type_symbol
_atom_site_fract_x
_atom_site_fract_y
_atom_site_fract_z
_atom_site_occupancy
Tc1 Tc 0.0000 0.0000 0.0000 1
Ni1 Ni 0.0000 0.5000 0.5000 1
As1 As 0.2352 0.5000 0.2403 1
# energy above the most stable polymorph in this dataset = 154 meV per atom
# raw total energy = -6.318 eV per atom